Below is an optimized crystal structure of PmTh2Os, with properties calculated at the GGA-PBE level.

Calculated values
As for the density of states at the Fermi level: 5.7 states/eV/f.u. For the energy of formation from the pure elements, the calculation gives 56 kJ/mol of formula units. The total energy is -7.561 eV/atom.

abc: 3.9430 3.9430 30.8921
angles: 90.00 90.00 120.00
Closest atoms and distances in Å follow each position.
Space group R-3m (No. 166, hexagonal axes)
Asymmetric unit:
Pm: 0.0000 0.0000 0.0000  2 Th 3.52
Th: 0.0000 0.0000 0.1139  3 Os 2.80
Os: 0.0000 0.0000 0.5000  6 Th 2.80